Density functional theory data (PBE) for an optimized crystal structure of BaMg2Sc.

Results
ρ, g cm⁻³: 3.09
Energy above the most stable polymorph in this dataset, eV per atom: 0.101
SG: No. 225
N(E_F), states/eV/cell: 6.03
DFT formation energy, eV/atom: 0.13

a = 5.601 Å, b = 5.601 Å, c = 5.601 Å
α = 60.00°, β = 60.00°, γ = 60.00°
Atoms (fractional coordinates):
Mg: 0.250 0.250 0.250
Mg: 0.750 0.750 0.750
Sc: 0.000 0.000 0.000
Ba: 0.500 0.500 0.500



Density functional theory data (PBE) for an optimized crystal structure of BaMgSc3.

Results
ρ, g cm⁻³: 3.17
Energy above the most stable polymorph in this dataset, eV per atom: 0.572
SG: No. 221
N(E_F), states/eV/cell: 8.30
DFT formation energy, eV/atom: 1.15

a = 5.375 Å, b = 5.375 Å, c = 5.375 Å
α = 90.00°, β = 90.00°, γ = 90.00°
Atoms (fractional coordinates):
Sc: 0.000 0.000 0.500
Sc: 0.500 0.000 0.000
Sc: 0.000 0.500 0.000
Mg: 0.500 0.500 0.500
Ba: 0.000 0.000 0.000